The following is a DFT calculation (PBE) of a relaxed CeSm3Ru2 crystal.

## Properties
calculated formation energy	-0.222	eV/atom
spin magnetization	0.00	μB per atom
energy	-79.95	eV/cell

Unit cell a=4.1929 b=8.4181 c=10.5335 alpha=71.42 beta=78.52 gamma=75.58
Fractional positions:
Ru: 0.8673 0.4373 0.8281
Ru: 0.3895 0.8150 0.4060
Ru: 0.6105 0.1850 0.5940
Ru: 0.1327 0.5627 0.1719
Sm: 0.0573 0.0903 0.7952
Sm: 0.3321 0.3073 0.0285
Sm: 0.6679 0.6927 0.9715
Sm: 0.9427 0.9097 0.2048
Sm: 0.2074 0.1798 0.4053
Sm: 0.7926 0.8202 0.5947
Ce: 0.4411 0.4491 0.6686
Ce: 0.5589 0.5509 0.3314